Below is a relaxed structure of La2Ga4Cu3Pt, with properties calculated at the PBE level.

Cell lengths 4.319, 4.319, 10.197 Å; angles 90.00, 90.00, 90.00 degrees
Space group P-4m2 (No. 115)
One atom of each set of equivalent atoms:
La  0.000  0.500  0.249 [2 per cell]
Ga  0.000  0.000  0.500 [1 per cell]
Ga  0.000  0.500  0.869 [2 per cell]
Ga  0.500  0.500  0.500 [1 per cell]
Cu  0.000  0.000  0.000 [1 per cell]
Cu  0.000  0.500  0.628 [2 per cell]
Pt  0.500  0.500  0.000 [1 per cell]

Properties
energy relative to the elements: -0.5758 eV/atom
volume: 19.0 Å³/atom
final energy: -4.605 eV per atom